Density functional theory data (PBE-GGA) for crystalline Ho2Ag2Pd5 at its relaxed geometry.

```
Ho2Ag2Pd5
1.0
8.162 -0.010 -0.911
-0.001 5.712 0.001
-5.275 -2.850 7.774
Ho Ag Pd
4 4 10
Direct
0.000 0.037 0.000
0.500 0.537 0.000
0.250 0.287 0.500
0.750 0.787 0.500
0.929 0.585 0.095
0.071 0.490 0.905
0.429 0.085 0.095
0.571 0.990 0.905
0.156 0.650 0.708
0.844 0.943 0.292
0.156 0.132 0.708
0.844 0.425 0.292
0.344 0.925 0.292
0.656 0.632 0.708
0.344 0.443 0.292
0.656 0.150 0.708
0.250 0.787 0.500
0.750 0.287 0.500
```

Properties
density of states at the Fermi level	6.35	states/eV per cell
total moment	0.00	μB per formula unit
mass density	10.7	g cm⁻³
calculated formation energy	-0.55	eV per atom



Density functional theory data (PBE-GGA) for crystalline Ho12AgPd6 at its relaxed geometry.

```
Ho12AgPd6
1.0
-4.545 6.663 -2.165
2.737 -2.749 -7.395
-5.886 -5.610 1.901
Ho Ag Pd
12 1 6
Direct
0.828 0.586 0.437
0.437 0.828 0.586
0.586 0.437 0.828
0.172 0.414 0.563
0.563 0.172 0.414
0.414 0.563 0.172
0.074 0.938 0.329
0.062 0.671 0.926
0.671 0.926 0.062
0.926 0.062 0.671
0.938 0.329 0.074
0.329 0.074 0.938
0.000 0.000 0.000
0.686 0.859 0.380
0.620 0.314 0.141
0.141 0.620 0.314
0.314 0.141 0.620
0.380 0.686 0.859
0.859 0.380 0.686
```

Properties
density of states at the Fermi level	19.22	states/eV per cell
total moment	0.00	μB per formula unit
mass density	8.4	g cm⁻³
calculated formation energy	-0.44	eV per atom



Density functional theory data (PBE-GGA) for crystalline HoAg2Pd5 at its relaxed geometry.

```
HoAg2Pd5
1.0
-5.082 -1.947 4.620
4.398 -4.890 2.776
2.214 7.169 -0.058
Ho Ag Pd
2 4 10
Direct
0.750 0.750 0.500
0.250 0.250 0.500
0.148 0.352 0.000
0.648 0.148 0.000
0.352 0.852 0.000
0.852 0.648 0.000
0.479 0.689 0.669
0.811 0.021 0.331
0.000 0.000 0.000
0.500 0.500 0.000
0.189 0.979 0.669
0.689 0.189 0.669
0.979 0.479 0.669
0.311 0.811 0.331
0.021 0.521 0.331
0.521 0.311 0.331
```

Properties
density of states at the Fermi level	5.65	states/eV per cell
total moment	0.00	μB per formula unit
mass density	10.7	g cm⁻³
excess energy over the best structure of this formula in the dataset	15.5	kJ/mol of atoms
calculated formation energy	-0.30	eV per atom